(1)
# Pr2NiBr (GGA-PBE, relaxed)
data_Pr2NiBr
_space_group_name_H-M_alt 'R -3 m'
_space_group_IT_number 166
_space_group_name_Hall '-R 3 2"'
_cell_length_a 4.1164
_cell_length_b 4.1164
_cell_length_c 23.3686
_cell_angle_alpha 90.00
_cell_angle_beta 90.00
_cell_angle_gamma 120.00
loop_
_atom_site_label
_atom_site_type_symbol
_atom_site_fract_x
_atom_site_fract_y
_atom_site_fract_z
_atom_site_occupancy
Pr1 Pr 0.0000 0.0000 0.2313 1
Ni1 Ni 0.0000 0.0000 0.5000 1
Br1 Br 0.0000 0.0000 0.0000 1
# formation energy from raw total energies	-3.18	eV per formula unit
# total energy	-60.57	eV/cell
# polymorph energy (0 for the lowest one)	0	meV per atom

(2)
# U2BeCo3P4 (GGA-PBE, relaxed)
data_U2BeCo3P4
_space_group_name_H-M_alt 'P -4 m 2'
_space_group_IT_number 115
_cell_length_a 3.940
_cell_length_b 3.940
_cell_length_c 8.847
_cell_angle_alpha 90.00
_cell_angle_beta 90.00
_cell_angle_gamma 90.00
loop_
_space_group_symop_operation_xyz
'x,y,z'
'y,-x,-z'
'-x,-y,z'
'-y,x,-z'
'-x,y,z'
'-y,-x,-z'
'x,-y,z'
'y,x,-z'
loop_
_atom_site_label
_atom_site_type_symbol
_atom_site_fract_x
_atom_site_fract_y
_atom_site_fract_z
_atom_site_occupancy
U1 U 0.000 0.500 0.249 1
Be1 Be 0.500 0.500 0.000 1
Co1 Co 0.000 0.000 0.000 1
Co2 Co 0.000 0.500 0.613 1
P1 P 0.000 0.000 0.500 1
P2 P 0.000 0.500 0.866 1
P3 P 0.500 0.500 0.500 1
# total energy	-76.61	eV/cell
# calculated formation energy	-735	meV/atom

(3)
# YMgPd14 (GGA-PBE, relaxed)
data_YMgPd14
_space_group_name_H-M_alt 'P 4/m m m'
_space_group_IT_number 123
_space_group_name_Hall '-P 4 2'
_cell_length_a 5.666
_cell_length_b 5.666
_cell_length_c 7.989
_cell_angle_alpha 90.00
_cell_angle_beta 90.00
_cell_angle_gamma 90.00
loop_
_atom_site_label
_atom_site_type_symbol
_atom_site_fract_x
_atom_site_fract_y
_atom_site_fract_z
_atom_site_occupancy
Y1 Y 0.000 0.000 0.000 1
Mg1 Mg 0.500 0.500 0.000 1
Pd1 Pd 0.000 0.000 0.500 1
Pd2 Pd 0.000 0.500 0.000 1
Pd3 Pd 0.000 0.500 0.500 1
Pd4 Pd 0.253 0.253 0.254 1
Pd5 Pd 0.500 0.500 0.500 1
# total energy	-85.75	eV/cell
# calculated formation energy	-312	meV/atom

(4)
# DyY3Pa2N6 (GGA-PBE, relaxed)
data_DyY3Pa2N6
_space_group_name_H-M_alt 'C 1 2/m 1'
_space_group_IT_number 12
_cell_length_a 6.041
_cell_length_b 10.465
_cell_length_c 6.034
_cell_angle_alpha 90.00
_cell_angle_beta 109.46
_cell_angle_gamma 90.00
loop_
_space_group_symop_operation_xyz
'x,y,z'
'-x,-y,-z'
'-x,y,-z'
'x,-y,z'
'x+1/2,y+1/2,z'
'-x+1/2,-y+1/2,-z'
'-x+1/2,y+1/2,-z'
'x+1/2,-y+1/2,z'
loop_
_atom_site_label
_atom_site_type_symbol
_atom_site_fract_x
_atom_site_fract_y
_atom_site_fract_z
_atom_site_occupancy
Dy1 Dy 0.000 0.000 0.000 1
Y1 Y 0.000 0.165 0.500 1
Y2 Y 0.000 0.500 0.500 1
Pa1 Pa 0.000 0.333 0.000 1
N1 N 0.237 0.500 0.240 1
N2 N 0.249 0.328 0.763 1
# formation energy from raw total energies	-20.33	eV per formula unit
# total energy	-226.54	eV/cell

(5)
# PuMgSb2 (GGA-PBE, relaxed)
data_PuMgSb2
_space_group_name_H-M_alt 'R -3 m'
_space_group_IT_number 166
_space_group_name_Hall '-R 3 2"'
_cell_length_a 4.5541
_cell_length_b 4.5541
_cell_length_c 18.9410
_cell_angle_alpha 90.00
_cell_angle_beta 90.00
_cell_angle_gamma 120.00
loop_
_atom_site_label
_atom_site_type_symbol
_atom_site_fract_x
_atom_site_fract_y
_atom_site_fract_z
_atom_site_occupancy
Pu1 Pu 0.0000 0.0000 0.0000 1
Mg1 Mg 0.0000 0.0000 0.5000 1
Sb1 Sb 0.0000 0.0000 0.2476 1
# formation energy from raw total energies	-1.40	eV per formula unit
# total energy	-76.72	eV/cell
# polymorph energy (0 for the lowest one)	154	meV per atom

(6)
# HoEr2Tl9 (GGA-PBE, relaxed)
data_HoEr2Tl9
_space_group_name_H-M_alt 'P 4/m m m'
_space_group_IT_number 123
_space_group_name_Hall '-P 4 2'
_cell_length_a 4.755
_cell_length_b 4.755
_cell_length_c 14.261
_cell_angle_alpha 90.00
_cell_angle_beta 90.00
_cell_angle_gamma 90.00
loop_
_atom_site_label
_atom_site_type_symbol
_atom_site_fract_x
_atom_site_fract_y
_atom_site_fract_z
_atom_site_occupancy
Ho1 Ho 0.000 0.000 0.000 1
Er1 Er 0.000 0.000 0.333 1
Tl1 Tl 0.000 0.500 0.167 1
Tl2 Tl 0.000 0.500 0.500 1
Tl3 Tl 0.500 0.500 0.000 1
Tl4 Tl 0.500 0.500 0.333 1
# total energy	-37.47	eV/cell
# calculated formation energy	-206	meV/atom

(7)
# LiCoSiRh (GGA-PBE, relaxed)
data_LiCoSiRh
_space_group_name_H-M_alt 'F -4 3 m'
_space_group_IT_number 216
_space_group_name_Hall 'F -4 2 3'
_cell_length_a 5.651
_cell_length_b 5.651
_cell_length_c 5.651
_cell_angle_alpha 90.00
_cell_angle_beta 90.00
_cell_angle_gamma 90.00
loop_
_atom_site_label
_atom_site_type_symbol
_atom_site_fract_x
_atom_site_fract_y
_atom_site_fract_z
_atom_site_occupancy
Li1 Li 0.000 0.000 0.000 1
Co1 Co 0.250 0.250 0.250 1
Si1 Si 0.000 0.000 0.500 1
Rh1 Rh 0.250 0.250 0.750 1
# formation energy from raw total energies	-2.41	eV per formula unit
# total energy	-96.83	eV/cell

(8)
# LaLuSi (GGA-PBE, relaxed)
data_LaLuSi
_space_group_name_H-M_alt 'P 3 m 1'
_space_group_IT_number 156
_cell_length_a 4.7283
_cell_length_b 4.7283
_cell_length_c 4.3119
_cell_angle_alpha 90.00
_cell_angle_beta 90.00
_cell_angle_gamma 120.00
loop_
_space_group_symop_operation_xyz
'x,y,z'
'-y,x-y,z'
'-x+y,-x,z'
'-y,-x,z'
'-x+y,y,z'
'x,x-y,z'
loop_
_atom_site_label
_atom_site_type_symbol
_atom_site_fract_x
_atom_site_fract_y
_atom_site_fract_z
_atom_site_occupancy
La1 La 0.0000 0.0000 0.0000 1
Lu1 Lu 0.6667 0.3333 0.4869 1
Si1 Si 0.3333 0.6667 0.5579 1
# formation energy from raw total energies	-1.12	eV per formula unit
# total energy	-15.99	eV/cell
# polymorph energy (0 for the lowest one)	52	meV per atom

(9)
# LiTl2Hg (GGA-PBE, relaxed)
data_LiTl2Hg
_space_group_name_H-M_alt 'F -4 3 m'
_space_group_IT_number 216
_space_group_name_Hall 'F -4 2 3'
_cell_length_a 7.440
_cell_length_b 7.440
_cell_length_c 7.440
_cell_angle_alpha 90.00
_cell_angle_beta 90.00
_cell_angle_gamma 90.00
loop_
_atom_site_label
_atom_site_type_symbol
_atom_site_fract_x
_atom_site_fract_y
_atom_site_fract_z
_atom_site_occupancy
Li1 Li 0.000 0.000 0.000 1
Tl1 Tl 0.000 0.000 0.500 1
Tl2 Tl 0.250 0.250 0.750 1
Hg1 Hg 0.250 0.250 0.250 1
# total energy	-29.14	eV/cell
# polymorph energy (0 for the lowest one)	48	meV per atom
# calculated formation energy	-85	meV/atom

(10)
# CePuOs2 (GGA-PBE, relaxed)
data_CePuOs2
_space_group_name_H-M_alt 'F m -3 m'
_space_group_IT_number 225
_space_group_name_Hall '-F 4 2 3'
_cell_length_a 6.853
_cell_length_b 6.853
_cell_length_c 6.853
_cell_angle_alpha 90.00
_cell_angle_beta 90.00
_cell_angle_gamma 90.00
loop_
_atom_site_label
_atom_site_type_symbol
_atom_site_fract_x
_atom_site_fract_y
_atom_site_fract_z
_atom_site_occupancy
Ce1 Ce 0.000 0.000 0.000 1
Pu1 Pu 0.000 0.000 0.500 1
Os1 Os 0.250 0.250 0.250 1
# total energy	-170.71	eV/cell
# calculated formation energy	12	meV/atom

(11)
# Pm3NdAl3 (GGA-PBE, relaxed)
data_Pm3NdAl3
_space_group_name_H-M_alt 'P 21 3'
_space_group_IT_number 198
_space_group_name_Hall 'P 2ac 2ab 3'
_cell_length_a 9.273
_cell_length_b 9.273
_cell_length_c 9.273
_cell_angle_alpha 90.00
_cell_angle_beta 90.00
_cell_angle_gamma 90.00
loop_
_atom_site_label
_atom_site_type_symbol
_atom_site_fract_x
_atom_site_fract_y
_atom_site_fract_z
_atom_site_occupancy
Pm1 Pm 0.075 0.425 0.575 1
Pm2 Pm 0.175 0.175 0.175 1
Pm3 Pm 0.176 0.824 0.324 1
Nd1 Nd 0.074 0.574 0.926 1
Al1 Al 0.001 0.749 0.624 1
# total energy	-126.32	eV/cell
# calculated formation energy	-190	meV/atom

(12)
# Sm2OsI (GGA-PBE, relaxed)
data_Sm2OsI
_space_group_name_H-M_alt 'P 4/m m m'
_space_group_IT_number 123
_space_group_name_Hall '-P 4 2'
_cell_length_a 3.523
_cell_length_b 3.523
_cell_length_c 8.545
_cell_angle_alpha 90.00
_cell_angle_beta 90.00
_cell_angle_gamma 90.00
loop_
_atom_site_label
_atom_site_type_symbol
_atom_site_fract_x
_atom_site_fract_y
_atom_site_fract_z
_atom_site_occupancy
Sm1 Sm 0.000 0.000 0.200 1
Os1 Os 0.500 0.500 0.000 1
I1 I 0.500 0.500 0.500 1
# formation energy from raw total energies	-1.80	eV per formula unit
# total energy	-24.02	eV/cell
# polymorph energy (0 for the lowest one)	30	meV per atom